Entry 1:
VASP calculation (PBE-GGA) on crystalline Tc3Te at its relaxed geometry.

Properties
- D(E_F) (states/eV/f.u.) = 5.005
- energy (eV for the cell shown) = -32.576
- polymorph energy (0 for the lowest one) (meV/atom) = 106

a b c (Å): 3.014 4.622 4.694
angles (deg): 90.00 90.00 90.00
Positions (direct):
Te 0.000 0.500 0.316
Tc 0.500 0.000 0.538
Tc 0.500 0.500 0.800
Tc 0.000 0.000 0.013

Entry 2:
VASP calculation (PBE-GGA) on crystalline Tc3Te at its relaxed geometry.

Properties
- D(E_F) (states/eV/f.u.) = 5.139
- energy (eV for the cell shown) = -32.497
- polymorph energy (0 for the lowest one) (meV/atom) = 126

a b c (Å): 3.018 3.987 5.439
angles (deg): 90.00 90.00 90.00
Positions (direct):
Tc 0.500 0.500 0.731
Tc 0.000 0.000 0.500
Te 0.000 0.000 0.000
Tc 0.500 0.500 0.269

Entry 3:
VASP calculation (PBE-GGA) on crystalline TcTe at its relaxed geometry.

Properties
- D(E_F) (states/eV/f.u.) = 2.706
- energy (eV for the cell shown) = -12.038
- polymorph energy (0 for the lowest one) (meV/atom) = 670

a b c (Å): 3.911 3.911 3.911
angles (deg): 60.00 60.00 60.00
Site moments in Bohr magnetons follow the coordinates.
Positions (direct):
Te 0.500 0.500 0.500  0.02
Tc 0.000 0.000 0.000  1.32

Entry 4:
VASP calculation (PBE-GGA) on crystalline TcTe at its relaxed geometry.

Properties
- D(E_F) (states/eV/f.u.) = 1.993
- energy (eV for the cell shown) = -26.269
- polymorph energy (0 for the lowest one) (meV/atom) = 122

a b c (Å): 7.882 7.882 3.934
angles (deg): 90.00 90.00 157.47
Positions (direct):
Tc 0.211 0.789 0.250
Tc 0.789 0.211 0.750
Te 0.382 0.618 0.250
Te 0.618 0.382 0.750

Entry 5:
VASP calculation (PBE-GGA) on crystalline TcTe at its relaxed geometry.

Properties
- D(E_F) (states/eV/f.u.) = 1.093
- energy (eV for the cell shown) = -39.786
- polymorph energy (0 for the lowest one) (meV/atom) = 58

a b c (Å): 7.164 7.164 6.775
angles (deg): 75.87 75.87 25.79
Positions (direct):
Tc 0.420 0.420 0.167
Te 0.914 0.914 0.492
Tc 0.577 0.577 0.325
Te 0.229 0.229 0.148
Tc 0.057 0.057 0.017
Te 0.636 0.636 0.684

Entry 6:
VASP calculation (PBE-GGA) on crystalline TcTe at its relaxed geometry.

Properties
- D(E_F) (states/eV/f.u.) = 0.307
- energy (eV for the cell shown) = -26.554
- polymorph energy (0 for the lowest one) (meV/atom) = 51

a b c (Å): 4.059 4.059 7.130
angles (deg): 90.00 90.00 120.00
Positions (direct):
Te 0.000 0.000 0.474
Tc 0.000 0.000 0.110
Te 0.333 0.667 0.923
Tc 0.667 0.333 0.240

Entry 7:
VASP calculation (PBE-GGA) on crystalline TcTe at its relaxed geometry.

Properties
- D(E_F) (states/eV/f.u.) = 1.363
- energy (eV for the cell shown) = -12.788
- polymorph energy (0 for the lowest one) (meV/atom) = 295

a b c (Å): 4.474 4.474 4.474
angles (deg): 42.63 42.63 42.63
Positions (direct):
Te 0.500 0.500 0.500
Tc 0.000 0.000 0.000

Entry 8:
VASP calculation (PBE-GGA) on crystalline Tc3Te at its relaxed geometry.

Properties
- D(E_F) (states/eV/f.u.) = 7.085
- energy (eV for the cell shown) = -23.566
- polymorph energy (0 for the lowest one) (meV/atom) = 2358

a b c (Å): 4.940 4.940 4.940
angles (deg): 90.00 90.00 90.00
Site moments in Bohr magnetons follow the coordinates.
Positions (direct):
Tc 0.000 0.000 0.500  1.23
Te 0.000 0.000 0.000  -0.04
Tc 0.500 0.000 0.000  1.23
Tc 0.000 0.500 0.000  1.23

Entry 9:
VASP calculation (PBE-GGA) on crystalline Tc3Te5 at its relaxed geometry.

Properties
- D(E_F) (states/eV/f.u.) = 7.208
- energy (eV for the cell shown) = -91.682
- polymorph energy (0 for the lowest one) (meV/atom) = 0

a b c (Å): 9.595 8.527 6.951
angles (deg): 80.35 86.04 135.20
Positions (direct):
Te 0.276 0.737 0.458
Tc 0.706 0.673 0.881
Tc 0.032 0.583 0.171
Te 0.724 0.263 0.543
Te 0.068 0.807 0.804
Te 0.595 0.612 0.270
Te 0.345 0.679 0.923
Tc 0.606 0.842 0.552
Tc 0.968 0.417 0.830
Tc 0.394 0.158 0.449
Te 0.932 0.193 0.197
Te 0.405 0.388 0.731
Te 0.655 0.321 0.078
Te 0.064 0.890 0.301
Te 0.936 0.110 0.700
Tc 0.294 0.327 0.120

Entry 10:
VASP calculation (PBE-GGA) on crystalline Tc2Te at its relaxed geometry.

Properties
- D(E_F) (states/eV/f.u.) = 1.864
- energy (eV for the cell shown) = -45.727
- polymorph energy (0 for the lowest one) (meV/atom) = 342

a b c (Å): 5.509 5.509 4.626
angles (deg): 90.00 90.00 132.81
Positions (direct):
Tc 0.759 0.241 0.250
Tc 0.550 0.450 0.750
Te 0.885 0.115 0.750
Te 0.115 0.885 0.250
Tc 0.241 0.759 0.750
Tc 0.450 0.550 0.250

Entry 11:
VASP calculation (PBE-GGA) on crystalline TcTe at its relaxed geometry.

Properties
- D(E_F) (states/eV/f.u.) = 0.660
- energy (eV for the cell shown) = -26.445
- polymorph energy (0 for the lowest one) (meV/atom) = 78

a b c (Å): 3.297 3.297 9.680
angles (deg): 90.00 90.00 120.00
Positions (direct):
Tc 0.333 0.667 0.902
Te 0.333 0.667 0.294
Tc 0.667 0.333 0.098
Te 0.667 0.333 0.706

Entry 12:
VASP calculation (PBE-GGA) on crystalline TcTe4 at its relaxed geometry.

Properties
- D(E_F) (states/eV/f.u.) = 6.982
- energy (eV for the cell shown) = -20.763
- polymorph energy (0 for the lowest one) (meV/atom) = 315

a b c (Å): 5.234 5.234 5.234
angles (deg): 90.00 90.00 90.00
Positions (direct):
Te 0.500 0.000 0.500
Te 0.500 0.500 0.000
Te 0.000 0.500 0.500
Te 0.000 0.000 0.000
Tc 0.500 0.500 0.500

Among the records above, which one has the lowest polymorph energy (0 for the lowest one)? Tc3Te5